Material: MgScCd
Method: DFT, PBE
State: relaxed

```
MgScCd
1.0
-2.3511 -1.3283 -1.9960
3.5333 -2.8022 -2.2971
0.0055 -5.0685 6.1914
Mg Sc Cd
2 2 2
Direct
0.7638 0.2500 0.5275
0.2362 0.7500 0.4725
0.4352 0.2500 0.8705
0.5648 0.7500 0.1295
0.8956 0.7500 0.7911
0.1044 0.2500 0.2089
```

Values from the calculation:
For the total energy, the calculation gives -3.11 eV per atom. Its formation energy is -0.165 eV per atom. Its total magnetic moment is 0.0 μB/f.u.